Entry 1:
# PBE MgSi2Sn2, relaxed
# VASP energy (eV/atom): -3.96
# Formation energy without anion corrections (eV/atom): 0.13
# Offset from the most stable computed form (eV/atom): 0.000
data_MgSi2Sn2
_chemical_formula_sum 'Mg2 Si4 Sn4'
_cell_length_a 5.114
_cell_length_b 6.205
_cell_length_c 7.668
_cell_angle_alpha 88.92
_cell_angle_beta 78.01
_cell_angle_gamma 86.84
_space_group_name_H-M_alt 'P 1'
_space_group_IT_number 1
_space_group_name_Hall 'P 1'
loop_
_atom_site_label
_atom_site_type_symbol
_atom_site_fract_x
_atom_site_fract_y
_atom_site_fract_z
Mg1 Mg 0.000 0.000 0.000
Mg2 Mg 0.151 0.334 0.567
Si1 Si 0.052 0.976 0.379
Si2 Si 0.320 0.886 0.605
Si3 Si 0.750 0.706 0.501
Si4 Si 0.954 0.696 0.755
Sn1 Sn 0.143 0.470 0.004
Sn2 Sn 0.469 0.800 0.131
Sn3 Sn 0.560 0.143 0.812
Sn4 Sn 0.712 0.338 0.314

=====

Entry 2:
# PBE Mg5Si2Sn2, relaxed
# VASP energy (eV/atom): -3.10
# Formation energy without anion corrections (eV/atom): -0.12
data_Mg5Si2Sn2
_chemical_formula_sum 'Mg20 Si8 Sn8'
_cell_length_a 16.349
_cell_length_b 6.895
_cell_length_c 6.887
_cell_angle_alpha 90.00
_cell_angle_beta 90.00
_cell_angle_gamma 90.00
_space_group_name_H-M_alt 'C m c e'
_space_group_IT_number 64
_space_group_name_Hall '-C 2ac 2'
loop_
_atom_site_label
_atom_site_type_symbol
_atom_site_fract_x
_atom_site_fract_y
_atom_site_fract_z
Mg1 Mg 0.000 0.000 0.000
Mg2 Mg 0.120 0.180 0.320
Si1 Si 0.000 0.122 0.623
Sn1 Sn 0.233 0.000 0.000

=====

Entry 3:
# PBE MgSi2Sn2, relaxed
# VASP energy (eV/atom): -3.96
# Formation energy without anion corrections (eV/atom): 0.13
# Offset from the most stable computed form (eV/atom): 0.004
data_MgSi2Sn2
_chemical_formula_sum 'Mg1 Si2 Sn2'
_cell_length_a 4.314
_cell_length_b 3.690
_cell_length_c 7.441
_cell_angle_alpha 90.00
_cell_angle_beta 93.72
_cell_angle_gamma 90.00
_space_group_name_H-M_alt 'P 1 m 1'
_space_group_IT_number 6
_space_group_name_Hall 'P -2y'
loop_
_atom_site_label
_atom_site_type_symbol
_atom_site_fract_x
_atom_site_fract_y
_atom_site_fract_z
Mg1 Mg 0.000 0.000 0.000
Si1 Si 0.492 0.500 0.076
Si2 Si 0.540 0.000 0.272
Sn1 Sn 0.070 0.000 0.512
Sn2 Sn 0.577 0.500 0.720

=====

Entry 4:
# PBE MgSi2Sn2, relaxed
# VASP energy (eV/atom): -3.93
# Formation energy without anion corrections (eV/atom): 0.16
# Offset from the most stable computed form (eV/atom): 0.029
data_MgSi2Sn2
_chemical_formula_sum 'Mg1 Si2 Sn2'
_cell_length_a 3.679
_cell_length_b 5.696
_cell_length_c 6.118
_cell_angle_alpha 114.08
_cell_angle_beta 106.84
_cell_angle_gamma 90.31
_space_group_name_H-M_alt 'P 1'
_space_group_IT_number 1
_space_group_name_Hall 'P 1'
loop_
_atom_site_label
_atom_site_type_symbol
_atom_site_fract_x
_atom_site_fract_y
_atom_site_fract_z
Mg1 Mg 0.000 0.000 0.000
Si1 Si 0.572 0.428 0.146
Si2 Si 0.950 0.450 0.891
Sn1 Sn 0.286 0.579 0.569
Sn2 Sn 0.717 0.998 0.432

=====

Entry 5:
# PBE Mg6SiSn, relaxed
# VASP energy (eV/atom): -2.36
# Formation energy without anion corrections (eV/atom): 0.02
data_Mg6SiSn
_chemical_formula_sum 'Mg12 Si2 Sn2'
_cell_length_a 5.033
_cell_length_b 6.174
_cell_length_c 11.311
_cell_angle_alpha 90.00
_cell_angle_beta 90.00
_cell_angle_gamma 90.00
_space_group_name_H-M_alt 'A m m 2'
_space_group_IT_number 38
_space_group_name_Hall 'A 2 -2'
loop_
_atom_site_label
_atom_site_type_symbol
_atom_site_fract_x
_atom_site_fract_y
_atom_site_fract_z
Mg1 Mg 0.000 0.000 0.000
Mg2 Mg 0.000 0.240 0.263
Mg3 Mg 0.500 0.000 0.835
Mg4 Mg 0.500 0.249 0.080
Si1 Si 0.500 0.000 0.288
Sn1 Sn 0.000 0.000 0.521

=====

Entry 6:
# PBE Mg6SiSn2, relaxed
# VASP energy (eV/atom): -2.73
# Formation energy without anion corrections (eV/atom): -0.17
data_Mg6SiSn2
_chemical_formula_sum 'Mg12 Si2 Sn4'
_cell_length_a 4.707
_cell_length_b 6.673
_cell_length_c 14.113
_cell_angle_alpha 90.00
_cell_angle_beta 90.00
_cell_angle_gamma 90.00
_space_group_name_H-M_alt 'I m m m'
_space_group_IT_number 71
_space_group_name_Hall '-I 2 2'
loop_
_atom_site_label
_atom_site_type_symbol
_atom_site_fract_x
_atom_site_fract_y
_atom_site_fract_z
Mg1 Mg 0.000 0.236 0.000
Mg2 Mg 0.000 0.258 0.341
Si1 Si 0.000 0.500 0.500
Sn1 Sn 0.000 0.500 0.166

=====

Entry 7:
# PBE MgSiSn3, relaxed
# VASP energy (eV/atom): -3.35
# Formation energy without anion corrections (eV/atom): 0.45
# Offset from the most stable computed form (eV/atom): 0.000
data_MgSiSn3
_chemical_formula_sum 'Mg1 Si1 Sn3'
_cell_length_a 5.242
_cell_length_b 5.242
_cell_length_c 5.242
_cell_angle_alpha 90.00
_cell_angle_beta 90.00
_cell_angle_gamma 90.00
_space_group_name_H-M_alt 'P m -3 m'
_space_group_IT_number 221
_space_group_name_Hall '-P 4 2 3'
loop_
_atom_site_label
_atom_site_type_symbol
_atom_site_fract_x
_atom_site_fract_y
_atom_site_fract_z
Mg1 Mg 0.000 0.000 0.000
Si1 Si 0.500 0.500 0.500
Sn1 Sn 0.000 0.500 0.500

=====

Entry 8:
# PBE Mg4SiSn, relaxed
# VASP energy (eV/atom): -2.42
# Formation energy without anion corrections (eV/atom): 0.21
# Offset from the most stable computed form (eV/atom): 0.369
data_Mg4SiSn
_chemical_formula_sum 'Mg16 Si4 Sn4'
_cell_length_a 8.127
_cell_length_b 8.127
_cell_length_c 8.127
_cell_angle_alpha 90.00
_cell_angle_beta 90.00
_cell_angle_gamma 90.00
_space_group_name_H-M_alt 'F -4 3 m'
_space_group_IT_number 216
_space_group_name_Hall 'F -4 2 3'
loop_
_atom_site_label
_atom_site_type_symbol
_atom_site_fract_x
_atom_site_fract_y
_atom_site_fract_z
Mg1 Mg 0.125 0.125 0.125
Si1 Si 0.250 0.250 0.750
Sn1 Sn 0.000 0.000 0.500

=====

Entry 9:
# PBE Mg2SiSn2, relaxed
# VASP energy (eV/atom): -3.13
# Formation energy without anion corrections (eV/atom): 0.19
# Offset from the most stable computed form (eV/atom): 0.000
data_Mg2SiSn2
_chemical_formula_sum 'Mg4 Si2 Sn4'
_cell_length_a 8.450
_cell_length_b 8.450
_cell_length_c 3.294
_cell_angle_alpha 90.00
_cell_angle_beta 90.00
_cell_angle_gamma 90.00
_space_group_name_H-M_alt 'P 4/m b m'
_space_group_IT_number 127
_space_group_name_Hall '-P 4 2ab'
loop_
_atom_site_label
_atom_site_type_symbol
_atom_site_fract_x
_atom_site_fract_y
_atom_site_fract_z
Mg1 Mg 0.129 0.371 0.000
Si1 Si 0.000 0.000 0.500
Sn1 Sn 0.172 0.672 0.500

=====

Entry 10:
# PBE Mg6SiSn, relaxed
# VASP energy (eV/atom): -2.36
# Formation energy without anion corrections (eV/atom): 0.01
data_Mg6SiSn
_chemical_formula_sum 'Mg12 Si2 Sn2'
_cell_length_a 4.947
_cell_length_b 6.278
_cell_length_c 11.137
_cell_angle_alpha 90.00
_cell_angle_beta 90.00
_cell_angle_gamma 90.00
_space_group_name_H-M_alt 'A m m 2'
_space_group_IT_number 38
_space_group_name_Hall 'A 2 -2'
loop_
_atom_site_label
_atom_site_type_symbol
_atom_site_fract_x
_atom_site_fract_y
_atom_site_fract_z
Mg1 Mg 0.000 0.000 0.000
Mg2 Mg 0.000 0.000 0.494
Mg3 Mg 0.000 0.242 0.245
Mg4 Mg 0.500 0.250 0.411
Si1 Si 0.500 0.000 0.160
Sn1 Sn 0.500 0.000 0.661

=====

Entry 11:
# PBE MgSi2Sn2, relaxed
# VASP energy (eV/atom): -3.94
# Formation energy without anion corrections (eV/atom): 0.15
# Offset from the most stable computed form (eV/atom): 0.025
data_MgSi2Sn2
_chemical_formula_sum 'Mg1 Si2 Sn2'
_cell_length_a 3.566
_cell_length_b 5.625
_cell_length_c 6.016
_cell_angle_alpha 90.00
_cell_angle_beta 106.55
_cell_angle_gamma 90.00
_space_group_name_H-M_alt 'P 1 2/m 1'
_space_group_IT_number 10
_space_group_name_Hall '-P 2y'
loop_
_atom_site_label
_atom_site_type_symbol
_atom_site_fract_x
_atom_site_fract_y
_atom_site_fract_z
Mg1 Mg 0.000 0.000 0.000
Si1 Si 0.313 0.000 0.631
Sn1 Sn 0.357 0.500 0.732

=====

Entry 12:
# PBE MgSi2Sn2, relaxed
# VASP energy (eV/atom): -3.90
# Formation energy without anion corrections (eV/atom): 0.19
# Offset from the most stable computed form (eV/atom): 0.060
data_MgSi2Sn2
_chemical_formula_sum 'Mg2 Si4 Sn4'
_cell_length_a 7.016
_cell_length_b 7.016
_cell_length_c 4.482
_cell_angle_alpha 90.00
_cell_angle_beta 90.00
_cell_angle_gamma 90.00
_space_group_name_H-M_alt 'P 4/m b m'
_space_group_IT_number 127
_space_group_name_Hall '-P 4 2ab'
loop_
_atom_site_label
_atom_site_type_symbol
_atom_site_fract_x
_atom_site_fract_y
_atom_site_fract_z
Mg1 Mg 0.000 0.000 0.000
Si1 Si 0.120 0.380 0.000
Sn1 Sn 0.188 0.688 0.500

=====

Entry 13:
# PBE MgSi2Sn2, relaxed
# VASP energy (eV/atom): -3.94
# Formation energy without anion corrections (eV/atom): 0.15
# Offset from the most stable computed form (eV/atom): 0.020
data_MgSi2Sn2
_chemical_formula_sum 'Mg2 Si4 Sn4'
_cell_length_a 5.332
_cell_length_b 6.435
_cell_length_c 6.744
_cell_angle_alpha 80.78
_cell_angle_beta 86.52
_cell_angle_gamma 87.67
_space_group_name_H-M_alt 'P 1'
_space_group_IT_number 1
_space_group_name_Hall 'P 1'
loop_
_atom_site_label
_atom_site_type_symbol
_atom_site_fract_x
_atom_site_fract_y
_atom_site_fract_z
Mg1 Mg 0.000 0.000 0.000
Mg2 Mg 0.036 0.530 0.810
Si1 Si 0.138 0.191 0.620
Si2 Si 0.166 0.808 0.357
Si3 Si 0.480 0.051 0.434
Si4 Si 0.848 0.910 0.596
Sn1 Sn 0.513 0.767 0.938
Sn2 Sn 0.528 0.262 0.047
Sn3 Sn 0.533 0.530 0.536
Sn4 Sn 0.996 0.427 0.265

=====

Entry 14:
# PBE MgSi2Sn2, relaxed
# VASP energy (eV/atom): -3.93
# Formation energy without anion corrections (eV/atom): 0.16
# Offset from the most stable computed form (eV/atom): 0.027
data_MgSi2Sn2
_chemical_formula_sum 'Mg2 Si4 Sn4'
_cell_length_a 5.123
_cell_length_b 6.463
_cell_length_c 8.114
_cell_angle_alpha 66.90
_cell_angle_beta 85.22
_cell_angle_gamma 83.43
_space_group_name_H-M_alt 'P 1'
_space_group_IT_number 1
_space_group_name_Hall 'P 1'
loop_
_atom_site_label
_atom_site_type_symbol
_atom_site_fract_x
_atom_site_fract_y
_atom_site_fract_z
Mg1 Mg 0.000 0.000 0.000
Mg2 Mg 0.296 0.549 0.381
Si1 Si 0.133 0.840 0.566
Si2 Si 0.486 0.083 0.486
Si3 Si 0.773 0.935 0.731
Si4 Si 0.816 0.908 0.337
Sn1 Sn 0.289 0.424 0.811
Sn2 Sn 0.479 0.677 0.002
Sn3 Sn 0.793 0.386 0.614
Sn4 Sn 0.911 0.360 0.214

=====

Entry 15:
# PBE Mg2Si2Sn, relaxed
# VASP energy (eV/atom): -3.53
# Formation energy without anion corrections (eV/atom): 0.08
data_Mg2Si2Sn
_chemical_formula_sum 'Mg4 Si4 Sn2'
_cell_length_a 4.453
_cell_length_b 4.453
_cell_length_c 10.802
_cell_angle_alpha 90.00
_cell_angle_beta 90.00
_cell_angle_gamma 90.00
_space_group_name_H-M_alt 'I 4/m m m'
_space_group_IT_number 139
_space_group_name_Hall '-I 4 2'
loop_
_atom_site_label
_atom_site_type_symbol
_atom_site_fract_x
_atom_site_fract_y
_atom_site_fract_z
Mg1 Mg 0.000 0.500 0.250
Si1 Si 0.000 0.000 0.106
Sn1 Sn 0.000 0.000 0.500

=====

Entry 16:
# PBE MgSi2Sn2, relaxed
# VASP energy (eV/atom): -3.92
# Formation energy without anion corrections (eV/atom): 0.17
# Offset from the most stable computed form (eV/atom): 0.040
data_MgSi2Sn2
_chemical_formula_sum 'Mg2 Si4 Sn4'
_cell_length_a 3.452
_cell_length_b 3.452
_cell_length_c 18.511
_cell_angle_alpha 90.00
_cell_angle_beta 90.00
_cell_angle_gamma 90.00
_space_group_name_H-M_alt 'I 4/m m m'
_space_group_IT_number 139
_space_group_name_Hall '-I 4 2'
loop_
_atom_site_label
_atom_site_type_symbol
_atom_site_fract_x
_atom_site_fract_y
_atom_site_fract_z
Mg1 Mg 0.000 0.000 0.000
Si1 Si 0.000 0.500 0.250
Sn1 Sn 0.000 0.000 0.391

=====

Entry 17:
# PBE Mg4SiSn, relaxed
# VASP energy (eV/atom): -2.79
# Formation energy without anion corrections (eV/atom): -0.16
# Offset from the most stable computed form (eV/atom): 0.000
data_Mg4SiSn
_chemical_formula_sum 'Mg4 Si1 Sn1'
_cell_length_a 4.646
_cell_length_b 4.646
_cell_length_c 6.623
_cell_angle_alpha 90.00
_cell_angle_beta 90.00
_cell_angle_gamma 90.00
_space_group_name_H-M_alt 'P 4/m m m'
_space_group_IT_number 123
_space_group_name_Hall '-P 4 2'
loop_
_atom_site_label
_atom_site_type_symbol
_atom_site_fract_x
_atom_site_fract_y
_atom_site_fract_z
Mg1 Mg 0.000 0.500 0.238
Si1 Si 0.000 0.000 0.000
Sn1 Sn 0.500 0.500 0.500

=====

Entry 18:
# PBE MgSiSn3, relaxed
# VASP energy (eV/atom): -2.99
# Formation energy without anion corrections (eV/atom): 0.81
# Offset from the most stable computed form (eV/atom): 0.360
data_MgSiSn3
_chemical_formula_sum 'Mg1 Si1 Sn3'
_cell_length_a 5.326
_cell_length_b 5.326
_cell_length_c 5.326
_cell_angle_alpha 90.00
_cell_angle_beta 90.00
_cell_angle_gamma 90.00
_space_group_name_H-M_alt 'P m -3 m'
_space_group_IT_number 221
_space_group_name_Hall '-P 4 2 3'
loop_
_atom_site_label
_atom_site_type_symbol
_atom_site_fract_x
_atom_site_fract_y
_atom_site_fract_z
Mg1 Mg 0.000 0.000 0.000
Si1 Si 0.500 0.500 0.500
Sn1 Sn 0.000 0.000 0.500

=====

Entry 19:
# PBE MgTlSi2Sn, relaxed
# VASP energy (eV/atom): -2.74
# Formation energy without anion corrections (eV/atom): 1.02
data_MgTlSi2Sn
_chemical_formula_sum 'Mg1 Tl1 Si2 Sn1'
_cell_length_a 5.211
_cell_length_b 5.211
_cell_length_c 5.248
_cell_angle_alpha 90.00
_cell_angle_beta 90.00
_cell_angle_gamma 90.00
_space_group_name_H-M_alt 'P 4/m m m'
_space_group_IT_number 123
_space_group_name_Hall '-P 4 2'
loop_
_atom_site_label
_atom_site_type_symbol
_atom_site_fract_x
_atom_site_fract_y
_atom_site_fract_z
Mg1 Mg 0.000 0.000 0.000
Tl1 Tl 0.000 0.000 0.500
Si1 Si 0.000 0.500 0.500
Sn1 Sn 0.500 0.500 0.000

=====

Entry 20:
# PBE SrMg14Si, relaxed
# VASP energy (eV/atom): -1.81
# Formation energy without anion corrections (eV/atom): 0.03
# Offset from the most stable computed form (eV/atom): 0.000
data_SrMg14Si
_chemical_formula_sum 'Sr2 Mg28 Si2'
_cell_length_a 10.352
_cell_length_b 6.279
_cell_length_c 11.737
_cell_angle_alpha 90.00
_cell_angle_beta 90.00
_cell_angle_gamma 90.00
_space_group_name_H-M_alt 'A m m 2'
_space_group_IT_number 38
_space_group_name_Hall 'A 2 -2'
loop_
_atom_site_label
_atom_site_type_symbol
_atom_site_fract_x
_atom_site_fract_y
_atom_site_fract_z
Sr1 Sr 0.000 0.000 0.000
Mg1 Mg 0.000 0.241 0.253
Mg2 Mg 0.218 0.000 0.632
Mg3 Mg 0.256 0.246 0.393
Mg4 Mg 0.264 0.000 0.152
Mg5 Mg 0.500 0.000 0.489
Mg6 Mg 0.500 0.000 0.982
Mg7 Mg 0.500 0.243 0.734
Si1 Si 0.000 0.000 0.459